A plane-wave DFT calculation with GGA-PBE was carried out for an optimized crystal structure of LaBiRuPb2.

Cell lengths 5.2944, 5.2944, 5.3770 Å; angles 90.00, 90.00, 90.00 degrees
Closest atoms and distances in Å follow each position.
Atoms (fractional coordinates):
La (0.0000, 0.0000, 0.0000)  2 Ru 2.69
Bi (0.5000, 0.5000, 0.0000)  4 La 3.74, 8 Pb 3.77
Ru (0.0000, 0.0000, 0.5000)  4 Pb 2.65, 2 La 2.69
Pb (0.0000, 0.5000, 0.5000)  2 Ru 2.65
Pb (0.5000, 0.0000, 0.5000)  2 Ru 2.65

Properties
DOS at the Fermi energy = 0.26 states/eV per atom
VASP energy = -26.9 eV/cell
M_tot = 0.00 μB/f.u.
Energy of formation from the pure elements = -0.278 eV/atom
Theoretical density = 9.512 g/cm3